*one*
A relaxed CsTiF2 crystal. Source: the Alexandria database, functional PBE-GGA.

POSCAR file:
```
CsTiF2
1.0
-2.673 2.673 6.470
2.673 -2.673 6.470
2.673 2.673 -6.470
Cs Ti F
2 2 4
Direct
0.000 0.000 0.000
0.750 0.250 0.500
0.250 0.750 0.500
0.500 0.500 0.000
0.365 0.625 0.240
0.375 0.615 0.740
0.385 0.125 0.760
0.875 0.635 0.260
```

Output
- magnetization (Bohr magnetons per cell) = 5.6

***

*two*
A relaxed CsTiF2 crystal. Source: the Alexandria database, functional PBE-GGA.

POSCAR file:
```
CsTiF2
1.0
1.974 1.140 7.434
-1.974 1.140 7.434
0.000 -2.280 7.434
Cs Ti F
1 1 2
Direct
0.000 0.000 0.000
0.500 0.500 0.500
0.414 0.414 0.414
0.586 0.586 0.586
```

Output
- magnetization (Bohr magnetons per cell) = 1.3

***

*three*
A relaxed CsTiF2 crystal. Source: the Alexandria database, functional PBE-GGA.

POSCAR file:
```
CsTiF2
1.0
0.000 3.384 3.384
3.384 0.000 3.384
3.384 3.384 0.000
Cs Ti F
1 1 2
Direct
0.000 0.000 0.000
0.500 0.500 0.500
0.250 0.250 0.250
0.750 0.750 0.750
```

Output
- magnetization (Bohr magnetons per cell) = 3.0

***

Quick one: least stable of them? *three*